# NaTi2Rh | the Alexandria database | GGA-PBE | optimized geometry
data_NaTi2Rh
_chemical_formula_sum 'Na4 Ti8 Rh4'
_space_group_name_H-M_alt 'I -4 2 d'
_space_group_IT_number 122
_space_group_name_Hall 'I -4 2bw'
_cell_length_a 3.9345
_cell_length_b 3.9345
_cell_length_c 18.5339
_cell_angle_alpha 90.00
_cell_angle_beta 90.00
_cell_angle_gamma 90.00
loop_
_atom_site_label
_atom_site_fract_x
_atom_site_fract_y
_atom_site_fract_z
Na1 0.0000 0.0000 0.0000
Ti1 0.2279 0.2500 0.6250
Rh1 0.0000 0.0000 0.5000
# * energy relative to the lowest polymorph listed for this composition: 1.69 eV per formula unit
# * crystal system: tetragonal
# * energy of formation from the pure elements: 0.54 eV per atom



# CdAgI | the Alexandria database | GGA-PBE | optimized geometry
data_CdAgI
_chemical_formula_sum 'Cd2 Ag2 I2'
_space_group_name_H-M_alt 'P 1'
_space_group_IT_number 1
_space_group_name_Hall 'P 1'
_cell_length_a 5.0565
_cell_length_b 5.9819
_cell_length_c 7.2516
_cell_angle_alpha 111.06
_cell_angle_beta 106.73
_cell_angle_gamma 98.50
loop_
_atom_site_label
_atom_site_fract_x
_atom_site_fract_y
_atom_site_fract_z
Cd1 0.0000 0.0000 0.0000
Cd2 0.3894 0.4084 0.9970
Ag1 0.3674 0.7395 0.8104
Ag2 0.8336 0.4833 0.8095
I1 0.4769 0.9872 0.5613
I2 0.8634 0.3737 0.3333
# * E_form (uncorrected): -87 meV per atom
# * energy relative to the lowest polymorph listed for this composition: 0.20 eV per formula unit
# * crystal system: triclinic



# K2AsCl | the Alexandria database | GGA-PBE | optimized geometry
data_K2AsCl
_chemical_formula_sum 'K8 As4 Cl4'
_space_group_name_H-M_alt 'F -4 3 m'
_space_group_IT_number 216
_space_group_name_Hall 'F -4 2 3'
_cell_length_a 8.0313
_cell_length_b 8.0313
_cell_length_c 8.0313
_cell_angle_alpha 90.00
_cell_angle_beta 90.00
_cell_angle_gamma 90.00
loop_
_atom_site_label
_atom_site_fract_x
_atom_site_fract_y
_atom_site_fract_z
K1 0.0000 0.0000 0.0000
K2 0.2500 0.2500 0.2500
As1 0.2500 0.2500 0.7500
Cl1 0.0000 0.0000 0.5000
# * E_form (uncorrected): -380 meV per atom
# * energy relative to the lowest polymorph listed for this composition: 2.11 eV per formula unit
# * crystal system: cubic



# Zn3GeCl | the Alexandria database | GGA-PBE | optimized geometry
data_Zn3GeCl
_chemical_formula_sum 'Zn3 Ge1 Cl1'
_space_group_name_H-M_alt 'P m -3 m'
_space_group_IT_number 221
_space_group_name_Hall '-P 4 2 3'
_cell_length_a 4.9232
_cell_length_b 4.9232
_cell_length_c 4.9232
_cell_angle_alpha 90.00
_cell_angle_beta 90.00
_cell_angle_gamma 90.00
loop_
_atom_site_label
_atom_site_fract_x
_atom_site_fract_y
_atom_site_fract_z
Zn1 0.0000 0.0000 0.5000
Ge1 0.0000 0.0000 0.0000
Cl1 0.5000 0.5000 0.5000
# * E_form (uncorrected): 24 meV per atom
# * energy relative to the lowest polymorph listed for this composition: 0.00 eV per formula unit
# * crystal system: cubic



# Sr13Rh2 | the Alexandria database | GGA-PBE | optimized geometry
data_Sr13Rh2
_chemical_formula_sum 'Sr13 Rh2'
_space_group_name_H-M_alt 'P -1'
_space_group_IT_number 2
_space_group_name_Hall '-P 1'
_cell_length_a 7.3886
_cell_length_b 9.5440
_cell_length_c 11.2814
_cell_angle_alpha 65.10
_cell_angle_beta 83.78
_cell_angle_gamma 82.52
loop_
_atom_site_label
_atom_site_fract_x
_atom_site_fract_y
_atom_site_fract_z
Sr1 0.0000 0.0000 0.0000
Sr2 0.0811 0.8527 0.6938
Sr3 0.1437 0.6982 0.3820
Sr4 0.2311 0.5374 0.0781
Sr5 0.3048 0.3780 0.7688
Sr6 0.3785 0.2276 0.4688
Sr7 0.4699 0.0710 0.1571
Rh1 0.1927 0.1155 0.7310
# * crystal system: triclinic
# * energy of formation from the pure elements: -0.15 eV per atom



# LiZn2Tc | the Alexandria database | GGA-PBE | optimized geometry
data_LiZn2Tc
_chemical_formula_sum 'Li1 Zn2 Tc1'
_space_group_name_H-M_alt 'P 4/m m m'
_space_group_IT_number 123
_space_group_name_Hall '-P 4 2'
_cell_length_a 4.5261
_cell_length_b 4.5261
_cell_length_c 2.7538
_cell_angle_alpha 90.00
_cell_angle_beta 90.00
_cell_angle_gamma 90.00
loop_
_atom_site_label
_atom_site_fract_x
_atom_site_fract_y
_atom_site_fract_z
Li1 0.0000 0.0000 0.0000
Zn1 0.0000 0.5000 0.5000
Tc1 0.5000 0.5000 0.0000
# * energy relative to the lowest polymorph listed for this composition: 0.02 eV per formula unit
# * crystal system: tetragonal
# * energy of formation from the pure elements: -0.08 eV per atom



# RbAlZnO2 | the Alexandria database | GGA-PBE | optimized geometry
data_RbAlZnO2
_chemical_formula_sum 'Rb1 Al1 Zn1 O2'
_space_group_name_H-M_alt 'P 4/m m m'
_space_group_IT_number 123
_space_group_name_Hall '-P 4 2'
_cell_length_a 3.9901
_cell_length_b 3.9901
_cell_length_c 4.9578
_cell_angle_alpha 90.00
_cell_angle_beta 90.00
_cell_angle_gamma 90.00
loop_
_atom_site_label
_atom_site_fract_x
_atom_site_fract_y
_atom_site_fract_z
Rb1 0.0000 0.0000 0.0000
Al1 0.5000 0.5000 0.5000
Zn1 0.5000 0.5000 0.0000
O1 0.0000 0.5000 0.5000
# * E_form (uncorrected): -870 meV per atom
# * crystal system: tetragonal



# Sm6Si2SBr3 | the Alexandria database | GGA-PBE | optimized geometry
data_Sm6Si2SBr3
_chemical_formula_sum 'Sm12 Si4 S2 Br6'
_space_group_name_H-M_alt 'C 1 2/m 1'
_space_group_IT_number 12
_space_group_name_Hall '-C 2y'
_cell_length_a 7.1943
_cell_length_b 12.4602
_cell_length_c 7.6511
_cell_angle_alpha 90.00
_cell_angle_beta 108.29
_cell_angle_gamma 90.00
loop_
_atom_site_label
_atom_site_fract_x
_atom_site_fract_y
_atom_site_fract_z
Sm1 0.2337 0.1659 0.2037
Sm2 0.2365 0.5000 0.2036
Si1 0.0000 0.3335 0.0000
S1 0.0000 0.0000 0.0000
Br1 0.0000 0.1690 0.5000
Br2 0.0000 0.5000 0.5000
# * E_form (uncorrected): -1260 meV per atom
# * crystal system: monoclinic



| no. | Fermi-level density of states (states/eV per cell) |
| --- | --- |
| 1 | 11.0 |
| 2 | 0.8 |
| 3 | 6.9 |
| 4 | 1.0 |
| 5 | 12.1 |
| 6 | 0.8 |
| 7 | 1.0 |
| 8 | 10.3 |